Version 1
Below is a relaxed DyTiTc crystal, with properties calculated at the PBE level.

Cell and atoms, written as CIF:
```
data_DyTiTc
_chemical_formula_sum 'Dy2 Ti2 Tc2'
_space_group_name_H-M_alt 'I 4 m m'
_space_group_IT_number 107
_space_group_name_Hall 'I 4 -2'
_cell_length_a 3.307
_cell_length_b 3.307
_cell_length_c 10.967
_cell_angle_alpha 90.00
_cell_angle_beta 90.00
_cell_angle_gamma 90.00
loop_
_atom_site_label
_atom_site_type_symbol
_atom_site_fract_x
_atom_site_fract_y
_atom_site_fract_z
Dy1 Dy 0.000 0.000 0.000
Ti1 Ti 0.000 0.000 0.283
Tc1 Tc 0.000 0.000 0.676
```

Version 2
Below is a relaxed DyTiTc crystal, with properties calculated at the PBE level.

Cell and atoms, written as CIF:
```
data_DyTiTc
_chemical_formula_sum 'Dy6 Ti6 Tc6'
_space_group_name_H-M_alt 'R -3 m'
_space_group_IT_number 166
_space_group_name_Hall '-R 3 2"'
_cell_length_a 4.4000
_cell_length_b 4.4000
_cell_length_c 23.5019
_cell_angle_alpha 90.00
_cell_angle_beta 90.00
_cell_angle_gamma 120.00
loop_
_atom_site_label
_atom_site_type_symbol
_atom_site_fract_x
_atom_site_fract_y
_atom_site_fract_z
Dy1 Dy 0.0000 0.0000 0.2169
Ti1 Ti 0.0000 0.0000 0.3651
Tc1 Tc 0.0000 0.0000 0.0521
```

Relative energies in meV/atom: version 1 0; version 2 97

Version 1
Below is a relaxed Dy5Tl2Tc crystal, with properties calculated at the PBE level.

Cell and atoms, written as CIF:
```
data_Dy5Tl2Tc
_chemical_formula_sum 'Dy10 Tl4 Tc2'
_space_group_name_H-M_alt 'P b a m'
_space_group_IT_number 55
_cell_length_a 6.755
_cell_length_b 12.627
_cell_length_c 5.003
_cell_angle_alpha 90.00
_cell_angle_beta 90.00
_cell_angle_gamma 90.00
loop_
_space_group_symop_operation_xyz
'x,y,z'
'-x,-y,-z'
'-x,-y,z'
'x,y,-z'
'x+1/2,-y+1/2,-z'
'-x+1/2,y+1/2,z'
'-x+1/2,y+1/2,-z'
'x+1/2,-y+1/2,z'
loop_
_atom_site_label
_atom_site_type_symbol
_atom_site_fract_x
_atom_site_fract_y
_atom_site_fract_z
Dy1 Dy 0.000 0.000 0.000
Dy2 Dy 0.115 0.287 0.000
Dy3 Dy 0.171 0.591 0.500
Tl1 Tl 0.122 0.845 0.500
Tc1 Tc 0.000 0.500 0.000
```

Version 2
Below is a relaxed Dy5Tl2Tc crystal, with properties calculated at the PBE level.

Cell and atoms, written as CIF:
```
data_Dy5Tl2Tc
_chemical_formula_sum 'Dy20 Tl8 Tc4'
_space_group_name_H-M_alt 'C m c m'
_space_group_IT_number 63
_space_group_name_Hall '-C 2c 2'
_cell_length_a 5.479
_cell_length_b 16.516
_cell_length_c 12.337
_cell_angle_alpha 90.00
_cell_angle_beta 90.00
_cell_angle_gamma 90.00
loop_
_atom_site_label
_atom_site_type_symbol
_atom_site_fract_x
_atom_site_fract_y
_atom_site_fract_z
Dy1 Dy 0.000 0.069 0.105
Dy2 Dy 0.000 0.293 0.076
Dy3 Dy 0.000 0.299 0.750
Tl1 Tl 0.000 0.122 0.631
Tc1 Tc 0.000 0.184 0.250
```

Relative energies in meV/atom: version 1 0; version 2 363

Version 1
Below is a relaxed DyTm3Tc crystal, with properties calculated at the PBE level.

Cell and atoms, written as CIF:
```
data_DyTm3Tc
_chemical_formula_sum 'Dy2 Tm6 Tc2'
_space_group_name_H-M_alt 'P m m n'
_space_group_IT_number 59
_cell_length_a 4.873
_cell_length_b 8.124
_cell_length_c 6.808
_cell_angle_alpha 90.00
_cell_angle_beta 90.00
_cell_angle_gamma 90.00
loop_
_space_group_symop_operation_xyz
'x,y,z'
'-x,-y,-z'
'-x+1/2,-y+1/2,z'
'x+1/2,y+1/2,-z'
'x+1/2,-y,-z'
'-x+1/2,y,z'
'-x,y+1/2,-z'
'x,-y+1/2,z'
loop_
_atom_site_label
_atom_site_type_symbol
_atom_site_fract_x
_atom_site_fract_y
_atom_site_fract_z
Dy1 Dy 0.250 0.250 0.077
Tm1 Tm 0.250 0.549 0.679
Tm2 Tm 0.250 0.750 0.256
Tc1 Tc 0.250 0.250 0.482
```

Version 2
Below is a relaxed DyTm3Tc crystal, with properties calculated at the PBE level.

Cell and atoms, written as CIF:
```
data_DyTm3Tc
_chemical_formula_sum 'Dy4 Tm12 Tc4'
_space_group_name_H-M_alt 'C 1 2/m 1'
_space_group_IT_number 12
_cell_length_a 11.538
_cell_length_b 8.542
_cell_length_c 7.773
_cell_angle_alpha 90.00
_cell_angle_beta 132.10
_cell_angle_gamma 90.00
loop_
_space_group_symop_operation_xyz
'x,y,z'
'-x,-y,-z'
'-x,y,-z'
'x,-y,z'
'x+1/2,y+1/2,z'
'-x+1/2,-y+1/2,-z'
'-x+1/2,y+1/2,-z'
'x+1/2,-y+1/2,z'
loop_
_atom_site_label
_atom_site_type_symbol
_atom_site_fract_x
_atom_site_fract_y
_atom_site_fract_z
Dy1 Dy 0.053 0.000 0.344
Tm1 Tm 0.055 0.500 0.258
Tm2 Tm 0.248 0.304 0.794
Tc1 Tc 0.250 0.000 0.877
```

Relative energies in meV/atom: version 1 7; version 2 0

Version 1
Below is a relaxed Dy3TmTc crystal, with properties calculated at the PBE level.

Cell and atoms, written as CIF:
```
data_Dy3TmTc
_chemical_formula_sum 'Dy12 Tm4 Tc4'
_space_group_name_H-M_alt 'C 1 m 1'
_space_group_IT_number 8
_cell_length_a 12.004
_cell_length_b 3.885
_cell_length_c 12.739
_cell_angle_alpha 90.00
_cell_angle_beta 112.47
_cell_angle_gamma 90.00
loop_
_space_group_symop_operation_xyz
'x,y,z'
'x,-y,z'
'x+1/2,y+1/2,z'
'x+1/2,-y+1/2,z'
loop_
_atom_site_label
_atom_site_type_symbol
_atom_site_fract_x
_atom_site_fract_y
_atom_site_fract_z
Dy1 Dy 0.000 0.000 0.000
Dy2 Dy 0.025 0.000 0.376
Dy3 Dy 0.169 0.500 0.240
Dy4 Dy 0.196 0.500 0.612
Dy5 Dy 0.225 0.000 0.856
Dy6 Dy 0.341 0.000 0.139
Tm1 Tm 0.354 0.000 0.476
Tm2 Tm 0.472 0.000 0.756
Tc1 Tc 0.027 0.000 0.611
Tc2 Tc 0.167 0.500 0.001
```

Version 2
Below is a relaxed Dy3TmTc crystal, with properties calculated at the PBE level.

Cell and atoms, written as CIF:
```
data_Dy3TmTc
_chemical_formula_sum 'Dy12 Tm4 Tc4'
_space_group_name_H-M_alt 'C 1 2/m 1'
_space_group_IT_number 12
_cell_length_a 11.611
_cell_length_b 8.595
_cell_length_c 7.868
_cell_angle_alpha 90.00
_cell_angle_beta 132.40
_cell_angle_gamma 90.00
loop_
_space_group_symop_operation_xyz
'x,y,z'
'-x,-y,-z'
'-x,y,-z'
'x,-y,z'
'x+1/2,y+1/2,z'
'-x+1/2,-y+1/2,-z'
'-x+1/2,y+1/2,-z'
'x+1/2,-y+1/2,z'
loop_
_atom_site_label
_atom_site_type_symbol
_atom_site_fract_x
_atom_site_fract_y
_atom_site_fract_z
Dy1 Dy 0.053 0.000 0.346
Dy2 Dy 0.248 0.303 0.792
Tm1 Tm 0.054 0.500 0.256
Tc1 Tc 0.250 0.000 0.874
```

Relative energies in meV/atom: version 1 0; version 2 43

Version 1
Below is a relaxed DyVTc2 crystal, with properties calculated at the PBE level.

Cell and atoms, written as CIF:
```
data_DyVTc2
_chemical_formula_sum 'Dy1 V1 Tc2'
_space_group_name_H-M_alt 'P 4/m m m'
_space_group_IT_number 123
_space_group_name_Hall '-P 4 2'
_cell_length_a 3.146
_cell_length_b 3.146
_cell_length_c 6.870
_cell_angle_alpha 90.00
_cell_angle_beta 90.00
_cell_angle_gamma 90.00
loop_
_atom_site_label
_atom_site_type_symbol
_atom_site_fract_x
_atom_site_fract_y
_atom_site_fract_z
Dy1 Dy 0.000 0.000 0.000
V1 V 0.000 0.000 0.500
Tc1 Tc 0.500 0.500 0.297
```

Version 2
Below is a relaxed DyVTc2 crystal, with properties calculated at the PBE level.

Cell and atoms, written as CIF:
```
data_DyVTc2
_chemical_formula_sum 'Dy3 V3 Tc6'
_space_group_name_H-M_alt 'R -3 m'
_space_group_IT_number 166
_space_group_name_Hall '-R 3 2"'
_cell_length_a 3.0758
_cell_length_b 3.0758
_cell_length_c 25.0560
_cell_angle_alpha 90.00
_cell_angle_beta 90.00
_cell_angle_gamma 120.00
loop_
_atom_site_label
_atom_site_type_symbol
_atom_site_fract_x
_atom_site_fract_y
_atom_site_fract_z
Dy1 Dy 0.0000 0.0000 0.0000
V1 V 0.0000 0.0000 0.5000
Tc1 Tc 0.0000 0.0000 0.2388
```

Relative energies in meV/atom: version 1 0; version 2 274

Version 1
Below is a relaxed DyZnTc crystal, with properties calculated at the PBE level.

Cell and atoms, written as CIF:
```
data_DyZnTc
_chemical_formula_sum 'Dy4 Zn4 Tc4'
_space_group_name_H-M_alt 'I m m a'
_space_group_IT_number 74
_space_group_name_Hall '-I 2b 2'
_cell_length_a 5.235
_cell_length_b 5.413
_cell_length_c 7.842
_cell_angle_alpha 90.00
_cell_angle_beta 90.00
_cell_angle_gamma 90.00
loop_
_atom_site_label
_atom_site_type_symbol
_atom_site_fract_x
_atom_site_fract_y
_atom_site_fract_z
Dy1 Dy 0.000 0.250 0.118
Zn1 Zn 0.000 0.000 0.500
Tc1 Tc 0.250 0.250 0.750
```

Version 2
Below is a relaxed DyZnTc crystal, with properties calculated at the PBE level.

Cell and atoms, written as CIF:
```
data_DyZnTc
_chemical_formula_sum 'Dy4 Zn4 Tc4'
_space_group_name_H-M_alt 'C 1 2/m 1'
_space_group_IT_number 12
_cell_length_a 8.524
_cell_length_b 5.520
_cell_length_c 5.195
_cell_angle_alpha 90.00
_cell_angle_beta 106.25
_cell_angle_gamma 90.00
loop_
_space_group_symop_operation_xyz
'x,y,z'
'-x,-y,-z'
'-x,y,-z'
'x,-y,z'
'x+1/2,y+1/2,z'
'-x+1/2,-y+1/2,-z'
'-x+1/2,y+1/2,-z'
'x+1/2,-y+1/2,z'
loop_
_atom_site_label
_atom_site_type_symbol
_atom_site_fract_x
_atom_site_fract_y
_atom_site_fract_z
Dy1 Dy 0.153 0.000 0.422
Zn1 Zn 0.250 0.250 0.000
Tc1 Tc 0.003 0.500 0.731
```

Relative energies in meV/atom: version 1 0; version 2 273